# Ba2SrLi

An optimized crystal structure of Ba2SrLi (PBE, the Alexandria database).

Values from the calculation:
energy above the lowest structure with this stoichiometry	153	meV per atom
energy	-1.683	eV per atom
calculated formation energy	0.7	eV per formula unit

a = 10.2747 Å, b = 10.2747 Å, c = 7.7855 Å
α = 90.00°, β = 90.00°, γ = 90.00°
Space group I-42d (No. 122)
Inequivalent atoms, fractional coordinates:
Ba 0.2038 0.2500 0.1250 x8
Sr 0.0000 0.0000 0.5000 x4
Li 0.0000 0.0000 0.0000 x4


# Ba2SrLi

An optimized crystal structure of Ba2SrLi (PBE, the Alexandria database).

Values from the calculation:
energy above the lowest structure with this stoichiometry	1	meV per atom
energy	-1.835	eV per atom
calculated formation energy	0.1	eV per formula unit

a = 4.4091 Å, b = 4.4091 Å, c = 10.5437 Å
α = 90.00°, β = 90.00°, γ = 90.00°
Space group P4/mmm (No. 123)
Inequivalent atoms, fractional coordinates:
Ba 0.0000 0.0000 0.2025 x2
Sr 0.5000 0.5000 0.5000 x1
Li 0.5000 0.5000 0.0000 x1


# BaSrLi

An optimized crystal structure of BaSrLi (PBE, the Alexandria database).

Values from the calculation:
energy above the lowest structure with this stoichiometry	505	meV per atom
energy	-1.305	eV per atom
calculated formation energy	1.6	eV per formula unit

a = 8.8398 Å, b = 8.8398 Å, c = 8.8398 Å
α = 90.00°, β = 90.00°, γ = 90.00°
Space group F-43m (No. 216)
Inequivalent atoms, fractional coordinates:
Ba 0.0000 0.0000 0.0000 x4
Sr 0.2500 0.2500 0.7500 x4
Li 0.2500 0.2500 0.2500 x4


# BaSrLi

An optimized crystal structure of BaSrLi (PBE, the Alexandria database).

Values from the calculation:
energy above the lowest structure with this stoichiometry	37	meV per atom
energy	-1.773	eV per atom
calculated formation energy	0.2	eV per formula unit

a = 8.0123 Å, b = 15.3546 Å, c = 9.6476 Å
α = 90.00°, β = 90.00°, γ = 90.00°
Space group Cmce (No. 64)
Inequivalent atoms, fractional coordinates:
Ba 0.0000 0.1895 0.1026 x8
Sr 0.2500 0.0537 0.7500 x8
Li 0.0000 0.0923 0.4525 x8


# BaSr6Li2

An optimized crystal structure of BaSr6Li2 (PBE, the Alexandria database).

Values from the calculation:
energy above the lowest structure with this stoichiometry	23	meV per atom
energy	-1.706	eV per atom
calculated formation energy	0.5	eV per formula unit

a = 5.8743 Å, b = 5.8743 Å, c = 13.0012 Å
α = 90.00°, β = 90.00°, γ = 90.00°
Space group P4/mmm (No. 123)
Inequivalent atoms, fractional coordinates:
Ba 0.0000 0.0000 0.0000 x1
Sr 0.0000 0.0000 0.5000 x1
Sr 0.0000 0.5000 0.2633 x4
Sr 0.5000 0.5000 0.5000 x1
Li 0.5000 0.5000 0.1059 x2


# BaSr8Li2

An optimized crystal structure of BaSr8Li2 (PBE, the Alexandria database).

Values from the calculation:
energy above the lowest structure with this stoichiometry	40	meV per atom
energy	-1.669	eV per atom
calculated formation energy	0.9	eV per formula unit

a = 10.7449 Å, b = 16.2626 Å, c = 6.7419 Å
α = 90.00°, β = 105.86°, γ = 90.00°
Space group C2/m (No. 12)
Inequivalent atoms, fractional coordinates:
Ba 0.0000 0.0000 0.0000 x2
Sr 0.0000 0.2524 0.0000 x4
Sr 0.1024 0.5000 0.8012 x4
Sr 0.2007 0.1276 0.5877 x8
Li 0.0000 0.3137 0.5000 x4


# Ba2SrLi

An optimized crystal structure of Ba2SrLi (PBE, the Alexandria database).

Values from the calculation:
energy above the lowest structure with this stoichiometry	37	meV per atom
energy	-1.798	eV per atom
calculated formation energy	0.2	eV per formula unit

a = 14.7620 Å, b = 4.5855 Å, c = 6.7338 Å
α = 90.00°, β = 117.06°, γ = 90.00°
Space group C2/m (No. 12)
Inequivalent atoms, fractional coordinates:
Ba 0.2169 0.0000 0.2168 x4
Sr 0.0000 0.0000 0.5000 x2
Li 0.0000 0.5000 0.0000 x2


# BaSr3Li4

An optimized crystal structure of BaSr3Li4 (PBE, the Alexandria database).

Values from the calculation:
energy	-1.793	eV per atom
calculated formation energy	0.3	eV per formula unit

a = 12.0579 Å, b = 8.6053 Å, c = 6.0343 Å
α = 90.00°, β = 90.00°, γ = 90.00°
Space group Pmma (No. 51)
Inequivalent atoms, fractional coordinates:
Ba 0.0000 0.0000 0.0000 x2
Sr 0.0000 0.5000 0.0000 x2
Sr 0.2500 0.0000 0.4995 x2
Sr 0.2500 0.5000 0.4990 x2
Li 0.0000 0.2587 0.5000 x4
Li 0.2500 0.2582 0.9988 x4


Total moment (computed, μB per formula unit): 0.000 0.000 0.000 0.000 0.000 0.000 0.001 0.000